(1)
VASP calculation (PBE-GGA) on crystalline RbLiCaPb at its relaxed geometry.

Calculated values
- formation energy (eV per atom) = -0.163
- M_tot (μB per formula unit) = 0.000

Unit cell a=5.5970 b=5.5970 c=5.5970 alpha=60.00 beta=60.00 gamma=60.00
Positions (direct):
Pb: 0.2500 0.2500 0.2500
Ca: 0.5000 0.5000 0.5000
Rb: 0.7500 0.7500 0.7500
Li: 0.0000 0.0000 0.0000

---

(2)
VASP calculation (PBE-GGA) on crystalline SmDy3Th4 at its relaxed geometry.

Calculated values
- formation energy (eV per atom) = 0.318
- M_tot (μB per formula unit) = 0.000

Unit cell a=3.4431 b=9.3918 c=9.6970 alpha=118.86 beta=100.23 gamma=90.00
Positions (direct):
Th: 0.3490 0.5399 0.6980
Th: 0.6510 0.4601 0.3020
Th: 0.6492 0.8404 0.2983
Th: 0.3508 0.1596 0.7017
Sm: 0.5000 0.0000 0.0000
Dy: 0.0000 0.5000 0.0000
Dy: 0.1834 0.1826 0.3667
Dy: 0.8166 0.8174 0.6333

---

(3)
VASP calculation (PBE-GGA) on crystalline Pu2Ga9Pt3 at its relaxed geometry.

Calculated values
- formation energy (eV per atom) = -0.601
- M_tot (μB per formula unit) = 11.510

Unit cell a=7.6979 b=7.6979 c=10.5762 alpha=90.02 beta=111.29 gamma=120.06
Positions (direct):
Pu: 0.3334 0.2491 0.7495
Pu: 0.6666 0.7509 0.2505
Pu: 0.9996 0.5839 0.7505
Pu: 0.0004 0.4161 0.2495
Ga: 0.4593 0.9177 0.7492
Ga: 0.5407 0.0823 0.2508
Ga: 0.6685 0.7100 0.7508
Ga: 0.3315 0.2900 0.2492
Ga: 0.4423 0.6358 0.9202
Ga: 0.5577 0.3642 0.0798
Ga: 0.2156 0.5221 0.5798
Ga: 0.7844 0.4779 0.4202
Ga: 0.8742 0.1242 0.7500
Ga: 0.1258 0.8758 0.2500
Ga: 0.1218 0.9753 0.9260
Ga: 0.8782 0.0247 0.0740
Ga: 0.5494 0.1958 0.5740
Ga: 0.4506 0.8042 0.4260
Ga: 0.8918 0.8606 0.5810
Ga: 0.1082 0.1394 0.4190
Ga: 0.7796 0.3108 0.9190
Ga: 0.2204 0.6892 0.0810
Pt: 0.5000 0.0000 0.0000
Pt: 0.5000 0.5000 0.5000
Pt: 0.8332 0.1675 0.5002
Pt: 0.1668 0.8325 0.4998
Pt: 0.1673 0.3330 0.9998
Pt: 0.8327 0.6670 0.0002

---

(4)
VASP calculation (PBE-GGA) on crystalline SiS2Cl at its relaxed geometry.

Calculated values
- offset from the most stable computed form (eV/atom) = 0.049
- ΔE_f (raw) (eV per atom) = -0.0665
- M_tot (μB per formula unit) = 0.907

Unit cell a=6.5822 b=6.5822 c=6.1872 alpha=57.86 beta=57.86 gamma=90.00
Positions (direct):
S: 0.5283 0.1250 0.2500
S: 0.2217 0.6250 0.2500
S: 0.3750 0.4717 0.7500
S: 0.8750 0.7783 0.7500
Si: 0.5000 0.5000 0.0000
Si: 0.2500 0.7500 0.5000
Cl: 0.0000 0.0000 0.0000
Cl: 0.7500 0.2500 0.5000

---

(5)
VASP calculation (PBE-GGA) on crystalline Nb3TlV at its relaxed geometry.

Calculated values
- offset from the most stable computed form (eV/atom) = 0.000
- formation energy (eV per atom) = 0.878
- M_tot (μB per formula unit) = 0.000

Unit cell a=4.6937 b=4.6937 c=4.6937 alpha=90.00 beta=90.00 gamma=90.00
Positions (direct):
Tl: 0.5000 0.5000 0.5000
Nb: 0.0000 0.5000 0.0000
Nb: 0.0000 0.0000 0.5000
Nb: 0.5000 0.0000 0.0000
V: 0.0000 0.0000 0.0000

---

(6)
VASP calculation (PBE-GGA) on crystalline LaHfSb2Te at its relaxed geometry.

Calculated values
- offset from the most stable computed form (eV/atom) = 1.273
- ΔE_f (raw) (eV per atom) = 0.8620
- M_tot (μB per formula unit) = 0.589

Unit cell a=5.9046 b=5.9046 c=5.8948 alpha=90.00 beta=90.00 gamma=90.00
Positions (direct):
Sb: 0.0000 0.5000 0.0000
Sb: 0.5000 0.0000 0.0000
Te: 0.0000 0.0000 0.5000
Hf: 0.5000 0.5000 0.5000
La: 0.0000 0.0000 0.0000

---

(7)
VASP calculation (PBE-GGA) on crystalline Rb2Sb4N3 at its relaxed geometry.

Calculated values
- ΔE_f (raw) (eV per atom) = 0.5905
- M_tot (μB per formula unit) = 2.341

Unit cell a=9.8999 b=9.8999 c=6.2202 alpha=90.00 beta=90.00 gamma=76.86
Positions (direct):
Rb: 0.7613 0.4584 0.5000
Rb: 0.4584 0.7613 0.0000
Rb: 0.2387 0.5416 0.5000
Rb: 0.5416 0.2387 0.0000
Sb: 0.1609 0.9327 0.5000
Sb: 0.9327 0.1609 0.0000
Sb: 0.8391 0.0673 0.5000
Sb: 0.0673 0.8391 0.0000
Sb: 0.9006 0.6218 0.0000
Sb: 0.6218 0.9006 0.5000
Sb: 0.0994 0.3782 0.0000
Sb: 0.3782 0.0994 0.5000
N: 0.7997 0.2003 0.2500
N: 0.2003 0.7997 0.2500
N: 0.2003 0.7997 0.7500
N: 0.7997 0.2003 0.7500
N: 0.5000 0.5000 0.7500
N: 0.5000 0.5000 0.2500

---

(8)
VASP calculation (PBE-GGA) on crystalline Y2MgWSe at its relaxed geometry.

Calculated values
- ΔE_f (raw) (eV per atom) = 1.2410
- M_tot (μB per formula unit) = 2.018

Unit cell a=5.5665 b=4.5819 c=5.5665 alpha=90.00 beta=90.00 gamma=90.00
Positions (direct):
Y: 0.0000 0.0000 0.5000
Y: 0.5000 0.0000 0.0000
Mg: 0.0000 0.0000 0.0000
Se: 0.0000 0.5000 0.0000
W: 0.5000 0.5000 0.5000

---

(9)
VASP calculation (PBE-GGA) on crystalline Na2PmZrO4 at its relaxed geometry.

Calculated values
- ΔE_f (raw) (eV per atom) = -2.4911
- M_tot (μB per formula unit) = 0.000

Unit cell a=3.3548 b=5.8730 c=5.9913 alpha=108.96 beta=90.00 gamma=90.00
Positions (direct):
Na: 0.5000 0.0000 0.5000
Na: 0.0000 0.5000 0.5000
Pm: 0.5000 0.5000 0.0000
Zr: 0.0000 0.0000 0.0000
O: 0.5000 0.2198 0.2143
O: 0.5000 0.7802 0.7857
O: 0.0000 0.2315 0.7764
O: 0.0000 0.7685 0.2236

---

(10)
VASP calculation (PBE-GGA) on crystalline Zn2GaIr2 at its relaxed geometry.

Calculated values
- offset from the most stable computed form (eV/atom) = 0.057
- formation energy (eV per atom) = -0.183
- M_tot (μB per formula unit) = 0.000

Unit cell a=6.7226 b=6.7226 c=5.1990 alpha=39.17 beta=39.17 gamma=36.85
Positions (direct):
Zn: 0.3327 0.3327 0.7084
Zn: 0.6673 0.6673 0.2916
Ga: 0.0000 0.0000 0.0000
Ir: 0.6662 0.6663 0.8046
Ir: 0.3338 0.3337 0.1954

---

(11)
VASP calculation (PBE-GGA) on crystalline Pm8Ho3Er2 at its relaxed geometry.

Calculated values
- offset from the most stable computed form (eV/atom) = 0.000
- formation energy (eV per atom) = 0.071
- M_tot (μB per formula unit) = 0.001

Unit cell a=11.3587 b=6.1445 c=8.4885 alpha=108.15 beta=102.07 gamma=120.53
Positions (direct):
Pm: 0.1169 0.3784 0.6959
Pm: 0.8831 0.6216 0.3041
Pm: 0.2628 0.9834 0.6185
Pm: 0.7372 0.0166 0.3815
Pm: 0.1983 0.8324 0.1624
Pm: 0.3532 0.4192 0.0849
Pm: 0.6468 0.5808 0.9151
Pm: 0.8017 0.1676 0.8376
Ho: 0.5000 0.0000 0.0000
Ho: 0.0333 0.2181 0.2232
Ho: 0.9667 0.7819 0.7768
Er: 0.4091 0.6256 0.5418
Er: 0.5909 0.3744 0.4582

---

(12)
VASP calculation (PBE-GGA) on crystalline Na3In3GaO8 at its relaxed geometry.

Calculated values
- ΔE_f (raw) (eV per atom) = -1.5351
- M_tot (μB per formula unit) = 1.180

Unit cell a=6.4364 b=6.4413 c=6.7010 alpha=118.76 beta=90.00 gamma=119.97
Positions (direct):
Na: 0.0000 0.0000 0.0000
Na: 0.0000 0.5000 0.0000
Na: 0.5000 0.5000 0.0000
In: 0.5000 0.0000 0.5000
In: 0.5000 0.5000 0.5000
In: 0.0000 0.5000 0.5000
Ga: 0.0000 0.0000 0.5000
O: 0.2618 0.5235 0.2854
O: 0.7382 0.4765 0.7146
O: 0.7795 0.5591 0.3029
O: 0.2205 0.4409 0.6971
O: 0.7796 0.0233 0.3029
O: 0.2204 0.9767 0.6971
O: 0.2437 0.0232 0.3029
O: 0.7563 0.9768 0.6971

---

(13)
VASP calculation (PBE-GGA) on crystalline KHgSe at its relaxed geometry.

Calculated values
- offset from the most stable computed form (eV/atom) = 0.318
- ΔE_f (raw) (eV per atom) = -0.2277
- M_tot (μB per formula unit) = 0.000

Unit cell a=5.3152 b=5.3152 c=5.3152 alpha=60.00 beta=60.00 gamma=60.00
Positions (direct):
Hg: 0.5000 0.5000 0.5000
K: 0.7500 0.7500 0.7500
Se: 0.0000 0.0000 0.0000

---

(14)
VASP calculation (PBE-GGA) on crystalline AgIr2Au at its relaxed geometry.

Calculated values
- offset from the most stable computed form (eV/atom) = 0.786
- formation energy (eV per atom) = 0.967
- M_tot (μB per formula unit) = 0.000

Unit cell a=7.4512 b=7.4512 c=5.8672 alpha=50.58 beta=50.58 gamma=90.00
Positions (direct):
Ir: 0.6326 0.1250 0.2500
Ir: 0.1174 0.6250 0.2500
Ir: 0.3750 0.3674 0.7500
Ir: 0.8750 0.8826 0.7500
Au: 0.0000 0.0000 0.0000
Au: 0.7500 0.2500 0.5000
Ag: 0.5000 0.5000 0.0000
Ag: 0.2500 0.7500 0.5000

---

(15)
VASP calculation (PBE-GGA) on crystalline Dy3Hg5S12 at its relaxed geometry.

Calculated values
- ΔE_f (raw) (eV per atom) = -0.5771
- M_tot (μB per formula unit) = 0.000

Unit cell a=13.6052 b=13.6052 c=13.6052 alpha=109.47 beta=109.47 gamma=109.47
Positions (direct):
S: 0.7273 0.1416 0.0563
S: 0.3290 0.5563 0.4147
S: 0.9437 0.3584 0.2727
S: 0.5563 0.2273 0.1416
S: 0.5857 0.7273 0.6710
S: 0.9437 0.5853 0.1710
S: 0.3290 0.7727 0.4143
S: 0.0853 0.9143 0.1416
S: 0.5853 0.9437 0.6710
S: 0.7273 0.5857 0.1710
S: 0.7727 0.4437 0.3584
S: 0.8290 0.9147 0.0563
S: 0.1416 0.7273 0.5563
S: 0.3584 0.4147 0.0857
S: 0.0857 0.9147 0.3584
S: 0.4143 0.1416 0.5853
S: 0.0857 0.1710 0.2273
S: 0.4437 0.6710 0.0853
S: 0.8290 0.9143 0.2727
S: 0.1416 0.4143 0.0853
S: 0.3584 0.9437 0.7727
S: 0.5853 0.6416 0.4143
S: 0.9147 0.8290 0.5563
S: 0.7727 0.3290 0.9143
S: 0.4147 0.3584 0.5857
S: 0.0853 0.1710 0.4437
S: 0.2273 0.6710 0.0857
S: 0.1710 0.0857 0.7273
S: 0.6416 0.0563 0.2273
S: 0.8584 0.5857 0.9147
S: 0.5563 0.3290 0.9147
S: 0.5857 0.8584 0.4147
S: 0.9143 0.8290 0.7727
S: 0.9143 0.0853 0.6416
S: 0.8584 0.2727 0.4437
S: 0.1710 0.0853 0.9437
S: 0.6416 0.5853 0.9143
S: 0.4147 0.0563 0.3290
S: 0.2727 0.4143 0.8290
S: 0.2273 0.5563 0.6416
S: 0.9147 0.0857 0.8584
S: 0.6710 0.2273 0.5857
S: 0.4437 0.7727 0.8584
S: 0.0563 0.4147 0.8290
S: 0.4143 0.2727 0.3290
S: 0.0563 0.6416 0.7273
S: 0.6710 0.4437 0.5853
S: 0.2727 0.8584 0.9437
Hg: 0.1250 0.3750 0.2500
Hg: 0.0000 0.5000 0.0000
Hg: 0.0000 0.0000 0.0000
Hg: 0.3750 0.2500 0.1250
Hg: 0.5000 0.0000 0.5000
Hg: 0.5000 0.5000 0.0000
Hg: 0.1250 0.7500 0.3750
Hg: 0.7500 0.1250 0.8750
Hg: 0.7500 0.6250 0.3750
Hg: 0.3750 0.1250 0.7500
Hg: 0.6250 0.8750 0.2500
Hg: 0.5000 0.5000 0.5000
Hg: 0.5000 0.0000 0.0000
Hg: 0.0000 0.0000 0.5000
Hg: 0.2500 0.3750 0.6250
Hg: 0.2500 0.8750 0.1250
Hg: 0.0000 0.5000 0.5000
Hg: 0.8750 0.2500 0.6250
Hg: 0.6250 0.7500 0.8750
Hg: 0.8750 0.6250 0.7500
Dy: 0.7500 0.3750 0.1250
Dy: 0.8750 0.7500 0.1250
Dy: 0.3750 0.7500 0.6250
Dy: 0.2500 0.1250 0.3750
Dy: 0.8750 0.1250 0.2500
Dy: 0.3750 0.6250 0.2500
Dy: 0.6250 0.3750 0.7500
Dy: 0.1250 0.8750 0.7500
Dy: 0.7500 0.8750 0.6250
Dy: 0.6250 0.2500 0.3750
Dy: 0.1250 0.2500 0.8750
Dy: 0.2500 0.6250 0.8750

---

(16)
VASP calculation (PBE-GGA) on crystalline Sr3Ca5 at its relaxed geometry.

Calculated values
- offset from the most stable computed form (eV/atom) = 0.005
- formation energy (eV per atom) = 0.018
- M_tot (μB per formula unit) = 0.000

Unit cell a=4.0391 b=4.0391 c=27.8702 alpha=73.32 beta=106.68 gamma=119.84
Positions (direct):
Sr: 0.0110 0.9890 0.1344
Sr: 0.5000 0.5000 0.0000
Sr: 0.9890 0.0110 0.8656
Ca: 0.4864 0.5136 0.7386
Ca: 0.9939 0.0061 0.6194
Ca: 0.5000 0.5000 0.5000
Ca: 0.0061 0.9939 0.3806
Ca: 0.5136 0.4864 0.2614

---

(17)
VASP calculation (PBE-GGA) on crystalline ZrBeTl at its relaxed geometry.

Calculated values
- offset from the most stable computed form (eV/atom) = 0.000
- formation energy (eV per atom) = -0.066
- M_tot (μB per formula unit) = 0.000

Unit cell a=3.6800 b=3.9162 c=8.1918 alpha=103.83 beta=90.00 gamma=90.00
Positions (direct):
Zr: 0.2500 0.9212 0.8423
Zr: 0.7500 0.0788 0.1577
Be: 0.2500 0.5340 0.0680
Be: 0.7500 0.4660 0.9320
Tl: 0.7500 0.3015 0.6031
Tl: 0.2500 0.6985 0.3969

---

(18)
VASP calculation (PBE-GGA) on crystalline Sr2AlTcS at its relaxed geometry.

Calculated values
- offset from the most stable computed form (eV/atom) = 0.177
- ΔE_f (raw) (eV per atom) = 0.2598
- M_tot (μB per formula unit) = 2.712

Unit cell a=5.5966 b=4.7423 c=5.5966 alpha=90.00 beta=90.00 gamma=90.00
Positions (direct):
Sr: 0.0000 0.0000 0.5000
Sr: 0.5000 0.0000 0.0000
S: 0.0000 0.0000 0.0000
Tc: 0.5000 0.5000 0.5000
Al: 0.0000 0.5000 0.0000

---

(19)
VASP calculation (PBE-GGA) on crystalline La3NdSm at its relaxed geometry.

Calculated values
- offset from the most stable computed form (eV/atom) = 0.000
- formation energy (eV per atom) = 0.175
- M_tot (μB per formula unit) = 0.000

Unit cell a=6.0922 b=5.7833 c=12.2198 alpha=90.00 beta=90.00 gamma=121.78
Positions (direct):
La: 0.0496 0.0992 0.7500
La: 0.9504 0.9008 0.2500
La: 0.3541 0.7082 0.6005
La: 0.6459 0.2918 0.3995
La: 0.6459 0.2918 0.1005
La: 0.3541 0.7082 0.8995
Nd: 0.0000 0.0000 0.5000
Nd: 0.0000 0.0000 0.0000
Sm: 0.2994 0.5987 0.2500
Sm: 0.7006 0.4013 0.7500

---

(20)
VASP calculation (PBE-GGA) on crystalline Sc2CoMo at its relaxed geometry.

Calculated values
- formation energy (eV per atom) = 0.177
- M_tot (μB per formula unit) = 0.019

Unit cell a=5.3982 b=5.3982 c=5.3982 alpha=138.62 beta=138.62 gamma=59.96
Positions (direct):
Co: 0.5000 0.5000 0.0000
Mo: 0.7500 0.2500 0.5000
Sc: 0.0000 0.0000 0.0000
Sc: 0.2500 0.7500 0.5000